Entry from Alexandria via LeMat-Bulk: a geometry-optimized AcLaPu2O8 structure (PBE).

abc: 6.615 6.615 6.615
angles: 108.84 108.84 110.74
Each line ends with the local moment (μB).
Atoms (fractional coordinates):
Ac 0.000 0.000 0.000  -0.01
La 0.250 0.750 0.500  0.00
Pu 0.750 0.250 0.500  3.33
Pu 0.500 0.500 0.000  3.39
O 0.376 0.050 0.325  -0.11
O 0.305 0.487 0.181  -0.11
O 0.305 0.124 0.819  -0.11
O 0.725 0.050 0.675  -0.11
O 0.876 0.695 0.181  -0.11
O 0.950 0.275 0.325  -0.11
O 0.950 0.624 0.675  -0.11
O 0.513 0.695 0.819  -0.11

Properties
Raw formation energy ... -2.825 eV/atom
DOS at the Fermi energy ... 13.3 states/eV per cell

***

Entry from Alexandria via LeMat-Bulk: a geometry-optimized AcLa2PuO8 structure (PBE).

abc: 4.238 5.670 7.741
angles: 90.00 90.00 96.21
Each line ends with the local moment (μB).
Atoms (fractional coordinates):
Ac 0.000 0.000 0.500  0.00
La 0.500 0.500 0.748  0.00
La 0.500 0.500 0.252  0.00
Pu 0.000 0.000 0.000  1.46
O 0.055 0.770 0.208  -0.06
O 0.593 0.794 0.000  -0.07
O 0.945 0.230 0.208  -0.06
O 0.945 0.230 0.792  -0.06
O 0.407 0.206 0.000  -0.07
O 0.055 0.770 0.792  -0.06
O 0.494 0.738 0.500  -0.01
O 0.506 0.262 0.500  -0.01

Properties
Raw formation energy ... -3.056 eV/atom
DOS at the Fermi energy ... 0.4 states/eV per cell

***

Number 1: mass density 7.3 g cm⁻³. Number 2: mass density 7.9 g cm⁻³.